Version w
4
Lattice="5.9947 0.0000 0.0000 -2.3955 4.0282 0.0077 1.2038 0.7134 2.2965" Properties=species:S:1:pos:R:3 comment="CrReRh2, optimized geometry, DFT PBE" rho_g_cm3=13.3 magnetic_moment_mub_per_cell=0.99 pbc="T T T"
Re 1.7996 2.0141 0.0038
Rh 0.0000 0.0000 0.0000
Rh 3.5993 0.3567 1.1483
Cr -0.5959 2.3708 1.1521

Version x
4
Lattice="-0.8202 4.0793 2.0248 -4.5428 0.3150 0.8226 3.0441 -3.3344 1.0142" Properties=species:S:1:pos:R:3 comment="CrReRh2, optimized geometry, DFT PBE" rho_g_cm3=13.4 magnetic_moment_mub_per_cell=0.75 pbc="T T T"
Cr -2.6815 2.1972 1.4237
Re -0.2288 1.4711 2.2314
Rh 0.0000 0.0000 0.0000
Rh -2.0901 -0.4111 1.6303

Stability, highest: version w

Version w
12
Lattice="-1.9313 0.8497 1.3933 -1.5941 -1.2604 -1.4409 1.0217 -9.6141 7.2795" Properties=species:S:1:pos:R:3 comment="BC2, optimized geometry, DFT PBE" rho_g_cm3=3.0 magnetic_moment_mub_per_cell=0.00 pbc="T T T"
B -0.9285 -8.0550 5.9197
B -0.0178 -8.4941 7.4498
B -1.2564 -4.9696 3.5835
B -1.5829 -1.8970 1.2571
C -0.3677 -5.2013 4.9567
C 0.6722 -6.3249 4.7890
C -0.0490 -7.6691 4.6092
C -0.6973 -2.1002 2.6086
C 0.3430 -3.2274 2.4437
C -0.3784 -4.5700 2.2626
C 0.0166 -0.1559 0.1181
C -0.7104 -1.4453 -0.1033

Version x
12
Lattice="-2.4268 0.4621 -0.6624 -1.1615 -2.8453 2.2705 -0.6816 5.1403 6.0826" Properties=species:S:1:pos:R:3 comment="BC2, optimized geometry, DFT PBE" rho_g_cm3=3.0 magnetic_moment_mub_per_cell=0.00 pbc="T T T"
B -0.4750 0.2029 1.8818
B -1.7602 2.2627 8.0270
B -2.1573 1.3364 3.8978
B -2.3746 3.0243 5.8712
C -1.9395 -0.3955 1.8920
C -2.0869 -1.8127 1.4432
C -0.5945 1.9418 3.5327
C -1.3847 -1.0802 4.3194
C -2.3214 -0.2129 3.4183
C -0.8256 3.5831 5.5239
C -1.6125 0.5643 6.3014
C -2.5489 1.4740 5.4285

Stability, highest: version w

Version w
12
Lattice="6.3302 0.0000 0.0000 0.0000 6.3277 0.0000 0.0000 0.0000 10.1097" Properties=species:S:1:pos:R:3 comment="TePb2, optimized geometry, DFT PBE" rho_g_cm3=8.9 magnetic_moment_mub_per_cell=0.00 pbc="T T T"
Pb 1.5826 6.3179 8.1408
Pb 4.7477 3.1737 3.0859
Pb 1.5826 3.1540 7.0239
Pb 4.7477 0.0098 1.9690
Pb 1.5826 6.3069 4.4996
Pb 4.7477 3.1847 9.5545
Pb 1.5826 3.1430 0.5553
Pb 4.7477 0.0209 5.6101
Te 1.5826 3.1359 3.7898
Te 4.7477 0.0280 8.8447
Te 1.5826 6.2997 1.2651
Te 4.7477 3.1919 6.3200

Version x
3
Lattice="-1.4552 2.0120 4.0788 1.3993 -3.8767 2.4115 4.3577 1.9437 0.5960" Properties=species:S:1:pos:R:3 comment="TePb2, optimized geometry, DFT PBE" rho_g_cm3=8.2 magnetic_moment_mub_per_cell=0.00 pbc="T T T"
Pb 2.8785 -0.9665 1.5038
Pb 1.4513 1.9778 2.3374
Te 0.0000 0.0000 0.0000

Stability, highest: version w

Version w
12
Lattice="5.3087 0.0000 0.0000 0.0000 3.7982 0.0000 0.0000 0.0000 7.9892" Properties=species:S:1:pos:R:3 comment="Co2Ag, optimized geometry, DFT PBE" rho_g_cm3=9.3 magnetic_moment_mub_per_cell=14.24 pbc="T T T"
Co 0.5097 0.9495 2.1993
Co 0.5829 0.9495 4.6285
Co 2.0714 2.8486 0.6339
Co 2.1446 2.8486 6.1939
Co 3.1641 0.9495 1.7953
Co 3.2373 0.9495 7.3553
Co 4.7258 2.8486 3.3607
Co 4.7990 2.8486 5.7899
Ag 0.6564 0.9495 7.2763
Ag 1.9979 2.8486 3.2816
Ag 3.3108 0.9495 4.7076
Ag 4.6523 2.8486 0.7130

Version x
6
Lattice="-2.9116 2.9116 2.5959 2.9116 -2.9116 2.5959 2.9116 2.9116 -2.5959" Properties=species:S:1:pos:R:3 comment="Co2Ag, optimized geometry, DFT PBE" rho_g_cm3=8.5 magnetic_moment_mub_per_cell=7.05 pbc="T T T"
Co 0.7529 2.1586 0.0000
Co -0.7529 2.1586 2.5959
Co 3.6645 0.7529 0.0000
Co 2.1586 0.7529 2.5959
Ag 0.0000 0.0000 1.2980
Ag 0.0000 0.0000 3.8939

Stability, highest: version w

Version w
16
Lattice="-5.2047 -1.3285 7.1357 -2.7676 -0.5752 -2.1258 2.7845 -12.3831 -0.2745" Properties=species:S:1:pos:R:3 comment="NbHgTe2, optimized geometry, DFT PBE" rho_g_cm3=9.1 magnetic_moment_mub_per_cell=0.00 pbc="T T T"
Nb -2.1976 -4.7761 2.6824
Nb 0.0266 -10.6897 -1.5556
Nb -2.9902 -9.5107 2.0531
Nb -5.2144 -3.5971 6.2911
Te -2.6229 -7.4617 3.9628
Te -6.4413 -1.8238 4.4661
Te -2.5650 -6.8251 0.7727
Te 1.2534 -12.4630 0.2693
Te -0.0372 -9.4798 1.1424
Te -2.6832 -3.5426 0.0385
Te -5.1506 -4.8071 3.5930
Te -2.5046 -10.7442 4.6970
Hg -4.1833 -8.7762 6.3500
Hg -4.4912 -2.2423 2.0405
Hg -1.0046 -5.5106 -1.6145
Hg -0.6966 -12.0446 2.6950

Version x
4
Lattice="1.8329 0.0000 12.7446 -0.9165 1.5874 12.7446 -0.9165 -1.5874 12.7446" Properties=species:S:1:pos:R:3 comment="NbHgTe2, optimized geometry, DFT PBE" rho_g_cm3=8.2 magnetic_moment_mub_per_cell=0.00 pbc="T T T"
Nb 0.0000 0.0000 0.0000
Te 0.0000 0.0000 35.4047
Te 0.0000 0.0000 2.8292
Hg 0.0000 0.0000 19.1169

Stability, highest: version w

Version w
4
Lattice="-0.8740 -4.1788 -2.2265 -0.0165 -3.7583 3.0097 -2.1646 4.3009 0.0091" Properties=species:S:1:pos:R:3 comment="Fe2CuHg, optimized geometry, DFT PBE" rho_g_cm3=11.0 magnetic_moment_mub_per_cell=5.17 pbc="T T T"
Cu -1.7419 -1.9232 -0.9129
Fe 0.0000 0.0000 0.0000
Fe -0.4452 -3.9686 0.3916
Hg -1.3131 -1.7130 1.7052

Version x
4
Lattice="5.9995 0.0193 0.0619 -2.3831 4.1017 -0.0227 1.2332 0.7362 2.3560" Properties=species:S:1:pos:R:3 comment="Fe2CuHg, optimized geometry, DFT PBE" rho_g_cm3=10.8 magnetic_moment_mub_per_cell=5.24 pbc="T T T"
Cu 1.8082 2.0605 0.0196
Fe 0.0000 0.0000 0.0000
Fe 3.6164 0.3778 1.2089
Hg -0.5749 2.4189 1.1666

Stability, highest: version w

Version w
4
Lattice="-2.7907 -4.5883 -1.5116 0.7993 -2.0885 5.1112 -2.6867 4.7210 -1.2725" Properties=species:S:1:pos:R:3 comment="InHgBr2, optimized geometry, DFT PBE" rho_g_cm3=6.5 magnetic_moment_mub_per_cell=0.00 pbc="T T T"
Hg -3.2365 -1.6029 -0.4921
Br -1.9728 -6.6144 3.5660
Br -1.0143 -3.4008 1.8335
In -1.4415 -0.3530 2.8193

Version x
4
Lattice="-2.1794 1.0477 -3.1473 -0.3819 -3.9309 0.3935 -6.6177 1.1397 4.9620" Properties=species:S:1:pos:R:3 comment="InHgBr2, optimized geometry, DFT PBE" rho_g_cm3=6.3 magnetic_moment_mub_per_cell=0.00 pbc="T T T"
Hg -2.9351 -1.1567 -0.1364
Br -6.4433 1.1097 4.8312
Br -3.4833 0.5999 2.6118
In -6.2439 -0.5868 2.3446

Stability, highest: version w

Version w
4
Lattice="-0.7471 1.6396 2.0147 1.5256 -2.8254 4.1122 3.9877 1.9710 -0.1252" Properties=species:S:1:pos:R:3 comment="ReMo, optimized geometry, DFT PBE" rho_g_cm3=15.2 magnetic_moment_mub_per_cell=0.00 pbc="T T T"
Re 1.8472 -1.0459 2.8286
Re 2.9190 1.8312 3.1730
Mo 0.7311 1.1428 1.7345
Mo 4.0351 -0.3576 4.2671

Version x
4
Lattice="2.7530 0.0000 0.0000 0.0000 4.9378 0.0000 0.0000 0.0000 4.8762" Properties=species:S:1:pos:R:3 comment="ReMo, optimized geometry, DFT PBE" rho_g_cm3=14.1 magnetic_moment_mub_per_cell=0.00 pbc="T T T"
Re 1.3765 2.4689 0.0000
Re 0.0000 0.0000 2.4381
Mo 0.0000 2.4689 2.4381
Mo 1.3765 0.0000 0.0000

Stability, highest: version w

Version w
4
Lattice="5.6041 -0.0655 0.0000 2.9606 4.7587 0.0000 -4.2823 -2.3466 2.7505" Properties=species:S:1:pos:R:3 comment="SrCrRe2, optimized geometry, DFT PBE" rho_g_cm3=11.5 magnetic_moment_mub_per_cell=3.17 pbc="T T T"
Cr 2.8020 -0.0328 1.3753
Re 0.0000 0.0000 0.0000
Re 4.2823 2.3466 0.0000
Sr 1.4803 2.3793 1.3753

Version x
4
Lattice="5.6193 0.0301 0.0000 -3.0470 4.7216 0.0000 0.0000 0.0000 2.7050" Properties=species:S:1:pos:R:3 comment="SrCrRe2, optimized geometry, DFT PBE" rho_g_cm3=11.8 magnetic_moment_mub_per_cell=2.92 pbc="T T T"
Cr -1.5235 2.3608 1.3525
Re 0.0000 0.0000 0.0000
Re 1.2862 2.3759 0.0000
Sr 2.8097 0.0151 1.3525

Stability, highest: version x

Version w
4
Lattice="3.5135 0.0000 0.0000 0.0000 3.5209 0.0207 0.0000 3.4838 6.1071" Properties=species:S:1:pos:R:3 comment="Sc2ZnAs, optimized geometry, DFT PBE" rho_g_cm3=5.1 magnetic_moment_mub_per_cell=0.68 pbc="T T T"
As 1.7567 5.2536 4.5959
Sc 0.0000 3.4837 6.0575
Sc 0.0000 3.5026 3.1135
Zn 1.7567 1.7512 1.5320

Version x
4
Lattice="3.3862 0.0912 0.0000 -0.5817 3.3371 0.0000 0.0000 0.0000 7.1631" Properties=species:S:1:pos:R:3 comment="Sc2ZnAs, optimized geometry, DFT PBE" rho_g_cm3=4.7 magnetic_moment_mub_per_cell=0.00 pbc="T T T"
As 1.4023 1.7142 5.2003
Sc 0.0000 0.0000 6.8711
Sc 1.4023 1.7142 2.0462
Zn 0.0000 0.0000 3.7900

Stability, highest: version w